(1)
Density functional theory data (PBE-GGA) for a geometry-optimized Tb4PmHo5 structure.

Structure (POSCAR):
```
Tb4PmHo5
1.0
-1.5161 -5.5908 2.3542
1.5726 -5.9742 -4.8709
5.8465 -3.3843 4.0318
Ho Pm Tb
5 1 4
Direct
0.0963 0.6210 0.0851 Ho
0.1814 0.9149 0.6210 Ho
0.7173 0.0851 0.3790 Ho
0.6800 0.0000 0.0000 Ho
0.8024 0.3790 0.9149 Ho
0.2217 0.0000 0.0000 Pm
0.8017 0.6997 0.6026 Tb
0.4042 0.3974 0.6997 Tb
0.5014 0.6026 0.3003 Tb
0.1040 0.3003 0.3974 Tb
```

Calculated volume   32.6 Å³ per atom
Energy relative to the elements   0.30 eV per atom


(2)
Density functional theory data (PBE-GGA) for a geometry-optimized NaLuSbAu structure.

Structure (POSCAR):
```
NaLuSbAu
1.0
-2.7945 3.0444 -3.0239
-4.9867 0.6724 0.9497
-1.6871 4.5039 1.7578
Lu Au Sb Na
1 1 1 1
Direct
0.7500 0.7500 0.7500 Lu
0.0000 0.0000 0.0000 Au
0.5000 0.5000 0.5000 Sb
0.2500 0.2500 0.2500 Na
```

Calculated volume   23.7 Å³ per atom
E   -3.935 eV/atom


(3)
Density functional theory data (PBE-GGA) for a geometry-optimized LaTeMoN2 structure.

Structure (POSCAR):
```
LaTeMoN2
1.0
-3.7829 1.6532 -0.9917
-1.8494 -3.7288 0.8385
-0.8728 1.8902 6.4805
N Te La Mo
2 1 1 1
Direct
0.5000 0.0000 0.0000 N
0.0000 0.5000 0.0000 N
0.0000 0.0000 0.5000 Te
0.0000 0.0000 0.0000 La
0.5000 0.5000 0.5000 Mo
```

Calculated volume   24.5 Å³ per atom
E   -5.954 eV/atom


(4)
Density functional theory data (PBE-GGA) for a geometry-optimized TaTlGa2Cl8 structure.

Structure (POSCAR):
```
TaTlGa2Cl8
1.0
-5.6203 -4.1855 -1.4464
3.2769 -1.4244 -5.9321
6.3020 -5.9194 2.1906
Tl Cl Ga Ta
1 8 2 1
Direct
0.0000 0.0000 0.5000 Tl
0.0736 0.7539 0.2488 Cl
0.9264 0.2461 0.7512 Cl
0.6252 0.7301 0.4913 Cl
0.6953 0.8508 0.9441 Cl
0.8737 0.2125 0.1225 Cl
0.3748 0.2699 0.5087 Cl
0.3047 0.1492 0.0559 Cl
0.1263 0.7875 0.8775 Cl
0.4531 0.5541 0.2697 Ga
0.5469 0.4459 0.7303 Ga
0.0000 0.0000 0.0000 Ta
```

Calculated volume   34.7 Å³ per atom
E   -4.003 eV/atom


(5)
Density functional theory data (PBE-GGA) for a geometry-optimized HfTcOs3 structure.

Structure (POSCAR):
```
HfTcOs3
1.0
-3.5567 -0.5847 2.9913
1.2048 -4.4924 0.5544
2.7997 1.1903 3.5616
Os Tc Hf
3 1 1
Direct
0.0000 0.5000 0.0000 Os
0.0000 0.0000 0.5000 Os
0.5000 0.0000 0.0000 Os
0.5000 0.5000 0.5000 Tc
0.0000 0.0000 0.0000 Hf
```

Calculated volume   20.6 Å³ per atom
Energy relative to the elements   2.65 eV per atom


(6)
Density functional theory data (PBE-GGA) for a geometry-optimized ZnRePt2 structure.

Structure (POSCAR):
```
ZnRePt2
1.0
2.7648 0.0000 0.0000
0.0000 3.8919 0.0000
0.0000 0.0000 5.6346
Pt Zn Re
2 1 1
Direct
0.0000 0.0000 0.9780 Pt
0.5000 0.5000 0.2756 Pt
0.5000 0.5000 0.7641 Zn
0.0000 0.0000 0.4822 Re
```

Calculated volume   15.2 Å³ per atom
Energy relative to the elements   -0.08 eV per atom


(7)
Density functional theory data (PBE-GGA) for a geometry-optimized LiMg14C structure.

Structure (POSCAR):
```
LiMg14C
1.0
-4.2857 3.0048 3.6003
-2.9603 -5.0951 -2.3737
2.6004 -4.8316 7.1278
Mg C Li
14 1 1
Direct
0.9570 0.6452 0.5000 Mg
0.6823 0.3177 0.7229 Mg
0.2110 0.4160 0.6839 Mg
0.2110 0.4160 0.3161 Mg
0.0860 0.9140 0.7759 Mg
0.3832 0.2142 0.0000 Mg
0.5840 0.7890 0.6839 Mg
0.3548 0.0430 0.5000 Mg
0.5840 0.7890 0.3161 Mg
0.8578 0.1422 0.0000 Mg
0.3175 0.6825 0.0000 Mg
0.0860 0.9140 0.2241 Mg
0.6823 0.3177 0.2771 Mg
0.7858 0.6168 0.0000 Mg
0.3221 0.6779 0.5000 C
0.8952 0.1048 0.5000 Li
```

Calculated volume   21.8 Å³ per atom
Energy relative to the elements   0.16 eV per atom


(8)
Density functional theory data (PBE-GGA) for a geometry-optimized Ce2MgAs3Pt4 structure.

Structure (POSCAR):
```
Ce2MgAs3Pt4
1.0
-1.4607 0.1575 -3.9592
3.5578 -1.8053 -1.3844
-4.5388 -9.9263 1.2796
As Pt Mg Ce
3 4 1 2
Direct
0.0000 0.5000 0.1350 As
0.0000 0.0000 0.5000 As
0.5000 0.0000 0.8650 As
0.5000 0.0000 0.6431 Pt
0.5000 0.5000 0.0000 Pt
0.0000 0.0000 0.0000 Pt
0.0000 0.5000 0.3569 Pt
0.5000 0.5000 0.5000 Mg
0.0000 0.5000 0.7680 Ce
0.5000 0.0000 0.2320 Ce
```

Calculated volume   19.6 Å³ per atom
Energy relative to the elements   -0.88 eV per atom


(9)
Density functional theory data (PBE-GGA) for a geometry-optimized AlRe2Si structure.

Structure (POSCAR):
```
AlRe2Si
1.0
-4.7146 -1.2848 -0.6965
-0.3682 -4.0288 -2.8279
1.7585 1.7421 4.2704
Si Re Al
1 2 1
Direct
0.2500 0.7500 0.5000 Si
0.4802 0.4802 0.0000 Re
0.0198 0.0198 0.0000 Re
0.7500 0.2500 0.5000 Al
```

Calculated volume   14.4 Å³ per atom
E   -8.518 eV/atom


(10)
Density functional theory data (PBE-GGA) for a geometry-optimized PmPr4Nd2Dy structure.

Structure (POSCAR):
```
PmPr4Nd2Dy
1.0
5.2161 0.0000 0.0000
0.0000 5.0724 1.1321
0.0001 2.8357 11.2591
Pr Nd Dy Pm
4 2 1 1
Direct
0.5000 0.7488 0.2514 Pr
0.0000 0.7522 0.7479 Pr
0.0000 0.2478 0.2521 Pr
0.5000 0.2512 0.7486 Pr
0.5000 0.0000 0.5000 Nd
0.0000 0.0000 0.0000 Nd
0.0000 0.5000 0.5000 Dy
0.5000 0.5000 0.0000 Pm
```

Calculated volume   35.1 Å³ per atom
Energy relative to the elements   0.01 eV per atom


(11)
Density functional theory data (PBE-GGA) for a geometry-optimized Pm2MgNi3Ge4 structure.

Structure (POSCAR):
```
Pm2MgNi3Ge4
1.0
-2.1919 -1.3633 -3.2661
-1.6476 -3.0070 2.3609
-7.7113 6.2425 2.5693
Ni Ge Mg Pm
3 4 1 2
Direct
0.0000 0.0000 0.5000 Ni
0.5000 0.0000 0.8840 Ni
0.0000 0.5000 0.1160 Ni
0.0000 0.5000 0.3471 Ge
0.5000 0.5000 0.0000 Ge
0.5000 0.0000 0.6529 Ge
0.0000 0.0000 0.0000 Ge
0.5000 0.5000 0.5000 Mg
0.0000 0.5000 0.7635 Pm
0.5000 0.0000 0.2365 Pm
```

Calculated volume   17.8 Å³ per atom
Energy relative to the elements   -0.65 eV per atom


(12)
Density functional theory data (PBE-GGA) for a geometry-optimized SmTh14Sc structure.

Structure (POSCAR):
```
SmTh14Sc
1.0
-6.8245 2.0712 0.5306
1.5635 -6.6756 -2.0339
-0.1747 -3.4001 11.0256
Th Sm Sc
14 1 1
Direct
0.8728 0.6235 0.2518 Th
0.7073 0.7909 0.0000 Th
0.8748 0.1252 0.2479 Th
0.0419 0.4532 0.5000 Th
0.2078 0.7922 0.0000 Th
0.8748 0.1252 0.7521 Th
0.5468 0.9581 0.5000 Th
0.8728 0.6235 0.7482 Th
0.3765 0.1272 0.2518 Th
0.2091 0.2927 0.0000 Th
0.3760 0.6240 0.2519 Th
0.7074 0.2926 0.0000 Th
0.3765 0.1272 0.7482 Th
0.3760 0.6240 0.7481 Th
0.0395 0.9605 0.5000 Sm
0.5402 0.4598 0.5000 Sc
```

Calculated volume   31.9 Å³ per atom
Energy relative to the elements   0.04 eV per atom


(13)
Density functional theory data (PBE-GGA) for a geometry-optimized TcSe2I structure.

Structure (POSCAR):
```
TcSe2I
1.0
5.5692 0.0851 -0.0211
-0.8123 8.7818 -0.0679
0.5232 -1.5772 5.7222
I Se Tc
2 4 2
Direct
0.9830 0.7875 0.7074 I
0.4259 0.5258 0.1412 I
0.6317 0.0410 0.6048 Se
0.1673 0.2702 0.7029 Se
0.2416 0.0431 0.1456 Se
0.7772 0.2723 0.2438 Se
0.4666 0.2074 0.9572 Tc
0.9423 0.1059 0.8913 Tc
```

Calculated volume   35.0 Å³ per atom
E   -4.930 eV/atom


(14)
Density functional theory data (PBE-GGA) for a geometry-optimized Ce2InHg6 structure.

Structure (POSCAR):
```
Ce2InHg6
1.0
-2.1949 -0.9114 -2.3307
4.4974 -7.6082 -1.2602
-6.5632 0.3574 6.0411
Ce Hg In
2 6 1
Direct
0.0000 0.6667 0.3333 Ce
0.0000 0.3333 0.6667 Ce
0.5000 0.6691 0.0000 Hg
0.5000 0.6691 0.6691 Hg
0.5000 0.0000 0.6691 Hg
0.5000 0.3309 0.3309 Hg
0.5000 0.0000 0.3309 Hg
0.5000 0.3309 0.0000 Hg
0.0000 0.0000 0.0000 In
```

Calculated volume   25.5 Å³ per atom
Energy relative to the elements   -0.22 eV per atom


(15)
Density functional theory data (PBE-GGA) for a geometry-optimized TiGa2Sb structure.

Structure (POSCAR):
```
TiGa2Sb
1.0
7.6963 0.0000 0.0000
0.0000 7.6963 0.0000
3.8481 3.8481 2.7849
Ga Ti Sb
4 2 2
Direct
0.8750 0.8646 0.7500 Ga
0.1354 0.6250 0.2500 Ga
0.3750 0.3854 0.7500 Ga
0.6146 0.1250 0.2500 Ga
0.5000 0.5000 0.0000 Ti
0.2500 0.7500 0.5000 Ti
0.7500 0.2500 0.5000 Sb
0.0000 0.0000 0.0000 Sb
```

Calculated volume   20.6 Å³ per atom
E   -4.435 eV/atom


(16)
Density functional theory data (PBE-GGA) for a geometry-optimized Sm5Te structure.

Structure (POSCAR):
```
Sm5Te
1.0
4.9140 0.0000 0.0000
0.0000 4.8734 0.0000
0.0000 -2.4367 7.7401
Te Sm
1 5
Direct
0.0000 0.0000 0.0000 Te
0.0000 0.6609 0.3218 Sm
0.5000 0.1642 0.3284 Sm
0.5000 0.8358 0.6716 Sm
0.5000 0.5000 0.0000 Sm
0.0000 0.3391 0.6782 Sm
```

Calculated volume   30.9 Å³ per atom
E   -4.762 eV/atom


(17)
Density functional theory data (PBE-GGA) for a geometry-optimized LiYSiAg structure.

Structure (POSCAR):
```
LiYSiAg
1.0
4.8034 0.0000 0.0000
2.4017 4.1599 0.0000
2.4017 1.3866 3.9220
Ag Si Li Y
1 1 1 1
Direct
0.2500 0.2500 0.2500 Ag
0.7500 0.7500 0.7500 Si
0.5000 0.5000 0.5000 Li
0.0000 0.0000 0.0000 Y
```

Calculated volume   19.6 Å³ per atom
E   -4.514 eV/atom


(18)
Density functional theory data (PBE-GGA) for a geometry-optimized GaSn2Rh5 structure.

Structure (POSCAR):
```
GaSn2Rh5
1.0
4.2526 0.0000 0.0000
0.0000 5.5367 0.0000
0.0000 0.0000 10.6365
Rh Sn Ga
10 4 2
Direct
0.0000 0.1202 0.2677 Rh
0.5000 0.1682 0.6036 Rh
0.5000 0.3318 0.1036 Rh
0.0000 0.5000 0.5000 Rh
0.0000 0.6202 0.2323 Rh
0.0000 0.3798 0.7677 Rh
0.5000 0.6682 0.8964 Rh
0.5000 0.8318 0.3964 Rh
0.0000 0.0000 0.0000 Rh
0.0000 0.8798 0.7323 Rh
0.5000 0.1467 0.8577 Sn
0.5000 0.3533 0.3577 Sn
0.5000 0.8533 0.1423 Sn
0.5000 0.6467 0.6423 Sn
0.0000 0.5000 0.0000 Ga
0.0000 0.0000 0.5000 Ga
```

Calculated volume   15.7 Å³ per atom
Energy relative to the elements   -0.45 eV per atom


(19)
Density functional theory data (PBE-GGA) for a geometry-optimized PuMgSi2Pd5 structure.

Structure (POSCAR):
```
PuMgSi2Pd5
1.0
4.1730 0.0000 0.0000
0.0000 4.1730 0.0000
0.0000 0.0000 8.9037
Pu Mg Si Pd
1 1 2 5
Direct
0.0000 0.0000 0.5000 Pu
0.0000 0.0000 0.0000 Mg
0.5000 0.5000 0.1277 Si
0.5000 0.5000 0.8723 Si
0.0000 0.5000 0.7421 Pd
0.5000 0.5000 0.5000 Pd
0.5000 0.0000 0.7421 Pd
0.5000 0.0000 0.2579 Pd
0.0000 0.5000 0.2579 Pd
```

Calculated volume   17.2 Å³ per atom
E   -6.449 eV/atom


(20)
Density functional theory data (PBE-GGA) for a geometry-optimized LiTi2CrOs structure.

Structure (POSCAR):
```
LiTi2CrOs
1.0
4.3037 0.0000 0.0000
0.0000 3.9531 0.0000
0.0000 0.0000 4.3037
Cr Ti Os Li
1 2 1 1
Direct
0.5000 0.5000 0.5000 Cr
0.5000 0.0000 0.0000 Ti
0.0000 0.0000 0.5000 Ti
0.0000 0.5000 0.0000 Os
0.0000 0.0000 0.0000 Li
```

Calculated volume   14.6 Å³ per atom
Energy relative to the elements   1.05 eV per atom


(21)
Density functional theory data (PBE-GGA) for a geometry-optimized PuNpNiOs structure.

Structure (POSCAR):
```
PuNpNiOs
1.0
-3.3526 1.1733 -3.1594
0.3703 -1.4562 -4.5100
-2.9560 -3.3251 -1.6744
Pu Np Os Ni
1 1 1 1
Direct
0.2500 0.2500 0.2500 Pu
0.7500 0.7500 0.7500 Np
0.0000 0.0000 0.0000 Os
0.5000 0.5000 0.5000 Ni
```

Calculated volume   19.0 Å³ per atom
Energy relative to the elements   0.07 eV per atom


(22)
Density functional theory data (PBE-GGA) for a geometry-optimized BeSnPt2 structure.

Structure (POSCAR):
```
BeSnPt2
1.0
4.8428 0.0000 0.0000
0.0000 4.8428 0.0000
2.4214 2.4214 6.7297
Sn Pt Be
2 4 2
Direct
0.0000 0.0000 0.0000 Sn
0.7500 0.2500 0.5000 Sn
0.5293 0.1250 0.2500 Pt
0.3750 0.4707 0.7500 Pt
0.8750 0.7793 0.7500 Pt
0.2207 0.6250 0.2500 Pt
0.5000 0.5000 0.0000 Be
0.2500 0.7500 0.5000 Be
```

Calculated volume   19.7 Å³ per atom
Energy relative to the elements   -0.14 eV per atom


(23)
Density functional theory data (PBE-GGA) for a geometry-optimized CaSiOs2O structure.

Structure (POSCAR):
```
CaSiOs2O
1.0
4.1431 0.0000 0.0000
0.0000 4.3109 0.0000
0.0000 0.0000 4.1431
O Si Os Ca
1 1 2 1
Direct
0.0000 0.0000 0.0000 O
0.5000 0.5000 0.5000 Si
0.0000 0.0000 0.5000 Os
0.5000 0.0000 0.0000 Os
0.0000 0.5000 0.0000 Ca
```

Calculated volume   14.8 Å³ per atom
E   -6.743 eV/atom


(24)
Density functional theory data (PBE-GGA) for a geometry-optimized LaPaPbO6 structure.

Structure (POSCAR):
```
LaPaPbO6
1.0
4.8804 0.0000 0.0000
0.0000 5.8017 0.0000
0.0000 -2.9008 5.0244
O Pa Pb La
6 1 1 1
Direct
0.2510 0.0299 0.6906 O
0.7490 0.3094 0.9701 O
0.2510 0.3094 0.3393 O
0.2510 0.6607 0.9701 O
0.7490 0.6607 0.6906 O
0.7490 0.0299 0.3393 O
0.0000 0.3333 0.6667 Pa
0.5000 0.0000 0.0000 Pb
0.5000 0.6667 0.3333 La
```

Calculated volume   15.8 Å³ per atom
E   -7.870 eV/atom